Compound: BaNd3Pt
Source: the Alexandria database
Functional: GGA-PBE
Structure: optimized geometry

a = 5.7991 Å, b = 5.7991 Å, c = 5.7991 Å
α = 90.00°, β = 90.00°, γ = 90.00°
Closest atoms and distances in Å follow each position.
Space group Pm-3m (No. 221)
Asymmetric unit:
Ba: 0.0000 0.0000 0.0000  12 Nd 4.10
Nd: 0.0000 0.5000 0.5000  2 Pt 2.90
Pt: 0.5000 0.5000 0.5000  6 Nd 2.90

Output
DOS at the Fermi energy = 2.068 states/eV/atom
ΔE_f = -316 meV per atom

Compound: CsTiAs2Se
Source: the Alexandria database
Functional: GGA-PBE
Structure: optimized geometry

a = 5.0621 Å, b = 5.0621 Å, c = 5.2128 Å
α = 90.00°, β = 90.00°, γ = 90.00°
Closest atoms and distances in Å follow each position.
Space group P4/mmm (No. 123)
Asymmetric unit:
Cs: 0.0000 0.0000 0.0000  4 Se 3.58, 8 As 3.63
Ti: 0.5000 0.5000 0.5000  4 As 2.53, 2 Se 2.61
As: 0.0000 0.5000 0.5000  2 Ti 2.53
Se: 0.5000 0.5000 0.0000  2 Ti 2.61

Output
DOS at the Fermi energy = 0.914 states/eV/atom
Formation energy from raw total energies = -411.8 meV/atom
Excess energy over the best structure of this formula in the dataset = 0 meV/atom

Compound: Mg2BeAu6
Source: the Alexandria database
Functional: GGA-PBE
Structure: optimized geometry

a = 8.4958 Å, b = 8.4958 Å, c = 4.1866 Å
α = 90.00°, β = 90.00°, γ = 90.00°
Closest atoms and distances in Å follow each position.
Space group P4_2/mnm (No. 136)
Asymmetric unit:
Mg: 0.2004 0.2004 0.0000  10 Au 2.76-3.00
Be: 0.0000 0.0000 0.5000  8 Au 2.55-2.73
Au: 0.0244 0.3202 0.5000  1 Be 2.73, 3 Mg 2.76-2.77, 7 Au 2.96-3.05
Au: 0.1211 0.8789 0.0000  2 Be 2.55, 2 Mg 2.81

Output
DOS at the Fermi energy = 0.230 states/eV/atom
ΔE_f = -341 meV per atom

Compound: Tb4SmEr2Tm2
Source: the Alexandria database
Functional: GGA-PBE
Structure: optimized geometry

a = 17.1020 Å, b = 3.5581 Å, c = 9.5464 Å
α = 90.00°, β = 101.58°, γ = 90.00°
Closest atoms and distances in Å follow each position.
Space group C2/m (No. 12)
Asymmetric unit:
Tb: 0.0165 0.0000 0.3273  5 Tb 3.46-3.56, 1 Tm 3.51, 4 Er 3.54-3.57, 2 Sm 3.56
Tb: 0.1792 0.5000 0.2447  3 Tm 3.37-3.52, 1 Sm 3.46, 3 Er 3.46-3.49, 4 Tb 3.52-3.56
Sm: 0.0000 0.5000 0.0000  6 Tb 3.46-3.56, 4 Tm 3.53, 2 Sm 3.56
Er: 0.1507 0.5000 0.5938  7 Tb 3.46-3.57, 2 Er 3.56, 2 Tm 3.57
Tm: 0.1646 0.0000 0.9222  4 Tb 3.37-3.52, 4 Tm 3.49-3.56, 2 Sm 3.53, 2 Er 3.57

Output
DOS at the Fermi energy = 1.287 states/eV/atom
ΔE_f = 26 meV per atom

Compound: LaTb4Tm8
Source: the Alexandria database
Functional: GGA-PBE
Structure: optimized geometry

a = 7.2555 Å, b = 7.2555 Å, c = 26.7699 Å
α = 90.00°, β = 90.00°, γ = 120.00°
Closest atoms and distances in Å follow each position.
Space group R-3m (No. 166, hexagonal axes)
Asymmetric unit:
La: 0.0000 0.0000 0.0000  6 Tm 2.90
Tb: 0.0000 0.0000 0.5000  6 Tm 3.31, 6 Tb 3.63
Tb: 0.0000 0.5000 0.5000  6 Tm 3.53-3.71, 6 Tb 3.63
Tm: 0.0000 0.0000 0.2811  9 Tm 3.63-3.65, 3 Tb 3.71
Tm: 0.0385 0.5192 0.2691  1 La 2.90, 2 Tm 3.21

Output
DOS at the Fermi energy = 1.206 states/eV/atom
ΔE_f = 199 meV per atom

Compound: Ce3Pm2DyBi6
Source: the Alexandria database
Functional: GGA-PBE
Structure: optimized geometry

a = 7.9226 Å, b = 13.7228 Å, c = 7.9222 Å
α = 90.00°, β = 109.49°, γ = 90.00°
Closest atoms and distances in Å follow each position.
Space group C2/m (No. 12)
Asymmetric unit:
Ce: 0.0000 0.0000 0.0000  6 Bi 3.24-3.26
Ce: 0.0000 0.3316 0.0000  6 Bi 3.23-3.25
Pm: 0.0000 0.1660 0.5000  6 Bi 3.24
Dy: 0.0000 0.5000 0.5000  6 Bi 3.20-3.21
Bi: 0.2462 0.5000 0.2508  1 Dy 3.21, 2 Pm 3.24, 3 Ce 3.24-3.26
Bi: 0.2470 0.3352 0.7472  1 Dy 3.20, 3 Ce 3.23-3.25, 2 Pm 3.24

Output
DOS at the Fermi energy = 1.694 states/eV/atom
ΔE_f = -854 meV per atom

Compound: FeRe4Ni
Source: the Alexandria database
Functional: GGA-PBE
Structure: optimized geometry

a = 7.2237 Å, b = 7.2237 Å, c = 7.2237 Å
α = 90.00°, β = 90.00°, γ = 90.00°
Closest atoms and distances in Å follow each position.
Space group F-43m (No. 216)
Asymmetric unit:
Fe: 0.0000 0.0000 0.0000  12 Re 3.00, 4 Ni 3.13
Re: 0.1247 0.1247 0.3753  6 Re 2.55-2.56
Ni: 0.2500 0.2500 0.7500  12 Re 2.99, 4 Fe 3.13

Output
DOS at the Fermi energy = 0.943 states/eV/atom
ΔE_f = 630 meV per atom

Compound: DyCuGe2Ir
Source: the Alexandria database
Functional: GGA-PBE
Structure: optimized geometry

a = 4.1335 Å, b = 4.1335 Å, c = 10.3178 Å
α = 90.00°, β = 90.00°, γ = 90.00°
Closest atoms and distances in Å follow each position.
Space group I-4m2 (No. 119)
Asymmetric unit:
Dy: 0.0000 0.0000 0.0000  8 Ge 3.17, 4 Ir 3.31, 4 Cu 3.31
Cu: 0.0000 0.5000 0.2500  4 Ge 2.46
Ge: 0.0000 0.0000 0.3801  2 Cu 2.46, 2 Ir 2.46, 1 Ge 2.48
Ir: 0.0000 0.5000 0.7500  4 Ge 2.46

Output
DOS at the Fermi energy = 0.583 states/eV/atom
ΔE_f = -558 meV per atom

Number 1: calculated total energy -4.770 eV/atom. Number 2: calculated total energy -4.718 eV/atom. Number 3: calculated total energy -3.294 eV/atom. Number 4: calculated total energy -4.564 eV/atom. Number 5: calculated total energy -4.356 eV/atom. Number 6: calculated total energy -5.454 eV/atom. Number 7: calculated total energy -10.043 eV/atom. Number 8: calculated total energy -5.917 eV/atom.